Be2CdCo | GGA-PBEsol | relaxed

Cell: 4.0296 4.0296 4.0296 Å, 60.00 60.00 60.00°
Last column: nearest neighbours and their distance in Å.
Fractional positions:
Be 0.0000 0.0000 0.0000  4 Cd 2.47, 4 Be 2.47
Be 0.2500 0.2500 0.2500  4 Co 2.47, 4 Be 2.47
Cd 0.7500 0.7500 0.7500  4 Co 2.47, 4 Be 2.47
Co 0.5000 0.5000 0.5000  4 Cd 2.47, 4 Be 2.47

Summary:
* magnetization: 0.00 μB/cell
* E_tot: -3.92 eV/atom
* crystal system: cubic
* ΔH_f (0 K): 0.32 eV per atom

Be3CdCo | GGA-PBEsol | relaxed

Cell: 3.9846 3.9846 3.9846 Å, 90.00 90.00 90.00°
Last column: nearest neighbours and their distance in Å.
Fractional positions:
Be 0.0000 0.0000 0.5000  2 Co 1.99
Be 0.0000 0.5000 0.0000  2 Co 1.99
Be 0.5000 0.0000 0.0000  2 Co 1.99
Cd 0.5000 0.5000 0.5000  12 Be 2.82
Co 0.0000 0.0000 0.0000  6 Be 1.99

Summary:
* magnetization: 0.00 μB/cell
* E_tot: -3.69 eV/atom
* crystal system: cubic
* ΔH_f (0 K): 0.49 eV per atom

BeCrCd3 | GGA-PBEsol | relaxed

Cell: 4.5726 4.5726 4.5726 Å, 90.00 90.00 90.00°
Last column: nearest neighbours and their distance in Å.
Fractional positions:
Be 0.0000 0.0000 0.0000  6 Cd 2.29
Cr 0.5000 0.5000 0.5000  12 Cd 3.23
Cd 0.0000 0.0000 0.5000  2 Be 2.29
Cd 0.0000 0.5000 0.0000  2 Be 2.29
Cd 0.5000 0.0000 0.0000  2 Be 2.29

Summary:
* magnetization: 4.56 μB/cell
* E_tot: -2.90 eV/atom
* crystal system: cubic
* ΔH_f (0 K): 0.66 eV per atom

Be2CrCd | GGA-PBEsol | relaxed

Cell: 3.9033 3.9033 3.0900 Å, 90.00 90.00 90.00°
Last column: nearest neighbours and their distance in Å.
Fractional positions:
Be 0.0000 0.5000 0.0000  4 Cd 2.49, 4 Cr 2.49, 4 Be 2.76
Be 0.5000 0.0000 0.0000  4 Cd 2.49, 4 Cr 2.49, 4 Be 2.76
Cr 0.0000 0.0000 0.5000  8 Be 2.49, 4 Cd 2.76
Cd 0.5000 0.5000 0.5000  8 Be 2.49, 4 Cr 2.76

Summary:
* magnetization: 1.69 μB/cell
* E_tot: -4.51 eV/atom
* crystal system: tetragonal
* ΔH_f (0 K): 0.35 eV per atom